Model P:
A relaxed structure of GaC3N. Source: Alexandria, functional PBE.

Summary:
space group	Pm-3m (221)

a b c (Å): 3.945 3.945 3.945
angles (deg): 90.00 90.00 90.00
Fractional positions:
Ga  0.000  0.000  0.000
C  0.000  0.000  0.500
C  0.000  0.500  0.000
C  0.500  0.000  0.000
N  0.500  0.500  0.500


Model Q:
A relaxed structure of GaC3N. Source: Alexandria, functional PBE.

Summary:
space group	Pm-3m (221)

a b c (Å): 3.543 3.543 3.543
angles (deg): 90.00 90.00 90.00
Fractional positions:
Ga  0.000  0.000  0.000
C  0.000  0.500  0.500
C  0.500  0.000  0.500
C  0.500  0.500  0.000
N  0.500  0.500  0.500


Most stable structure - model Q; separation to the second - 0.717 eV/atom.


Model P:
A relaxed structure of Ga2CNO. Source: Alexandria, functional PBE.

Summary:
space group	P4/mmm (123)

a b c (Å): 4.919 4.919 2.580
angles (deg): 90.00 90.00 90.00
Fractional positions:
Ga  0.000  0.500  0.000
Ga  0.500  0.000  0.000
C  0.000  0.000  0.000
N  0.000  0.000  0.500
O  0.500  0.500  0.500


Model Q:
A relaxed structure of Ga2CNO. Source: Alexandria, functional PBE.

Summary:
space group	P4/mmm (123)

a b c (Å): 5.094 5.094 2.555
angles (deg): 90.00 90.00 90.00
Fractional positions:
Ga  0.000  0.500  0.000
Ga  0.500  0.000  0.000
C  0.000  0.000  0.500
N  0.000  0.000  0.000
O  0.500  0.500  0.500


Most stable structure - model P; separation to the second - 0.075 eV/atom.


Model P:
A relaxed structure of GaCSe2N. Source: Alexandria, functional PBE.

Summary:
space group	P4/mmm (123)

a b c (Å): 5.084 5.084 3.571
angles (deg): 90.00 90.00 90.00
Fractional positions:
Ga  0.000  0.000  0.000
C  0.500  0.500  0.500
Se  0.000  0.500  0.000
Se  0.500  0.000  0.000
N  0.000  0.000  0.500


Model Q:
A relaxed structure of GaCSe2N. Source: Alexandria, functional PBE.

Summary:
space group	P4/mmm (123)

a b c (Å): 6.130 6.130 2.503
angles (deg): 90.00 90.00 90.00
Fractional positions:
Ga  0.000  0.000  0.000
C  0.500  0.500  0.500
Se  0.000  0.500  0.500
Se  0.500  0.000  0.500
N  0.500  0.500  0.000


Most stable structure - model Q; separation to the second - 1.489 eV/atom.


Model P:
A relaxed structure of GaCSeN2. Source: Alexandria, functional PBE.

Summary:
space group	P4/mmm (123)

a b c (Å): 3.618 3.618 4.314
angles (deg): 90.00 90.00 90.00
Fractional positions:
Ga  0.000  0.000  0.000
C  0.500  0.500  0.500
Se  0.500  0.500  0.000
N  0.000  0.500  0.500
N  0.500  0.000  0.500


Model Q:
A relaxed structure of GaCSeN2. Source: Alexandria, functional PBE.

Summary:
space group	P4/mmm (123)

a b c (Å): 3.562 3.562 7.722
angles (deg): 90.00 90.00 90.00
Fractional positions:
Ga  0.000  0.000  0.000
C  0.500  0.500  0.500
Se  0.000  0.000  0.500
N  0.000  0.500  0.000
N  0.500  0.000  0.000


Most stable structure - model P; separation to the second - 0.229 eV/atom.


Model P:
A relaxed structure of GaTeCN2. Source: Alexandria, functional PBE.

Summary:
space group	P4/mmm (123)

a b c (Å): 3.600 3.600 7.988
angles (deg): 90.00 90.00 90.00
Fractional positions:
Ga  0.000  0.000  0.000
Te  0.000  0.000  0.500
C  0.500  0.500  0.500
N  0.000  0.500  0.000
N  0.500  0.000  0.000


Model Q:
A relaxed structure of GaTeCN2. Source: Alexandria, functional PBE.

Summary:
space group	P4/mmm (123)

a b c (Å): 3.808 3.808 4.495
angles (deg): 90.00 90.00 90.00
Fractional positions:
Ga  0.000  0.000  0.000
Te  0.500  0.500  0.000
C  0.500  0.500  0.500
N  0.000  0.500  0.500
N  0.500  0.000  0.500


Most stable structure - model P; separation to the second - 0.101 eV/atom.


Model P:
A relaxed structure of NbGaC3. Source: Alexandria, functional PBE.

Summary:
space group	Pm-3m (221)

a b c (Å): 3.872 3.872 3.872
angles (deg): 90.00 90.00 90.00
Fractional positions:
Nb  0.000  0.000  0.000
Ga  0.500  0.500  0.500
C  0.000  0.500  0.500
C  0.500  0.000  0.500
C  0.500  0.500  0.000


Model Q:
A relaxed structure of NbGaC3. Source: Alexandria, functional PBE.

Summary:
space group	Pm-3m (221)

a b c (Å): 4.242 4.242 4.242
angles (deg): 90.00 90.00 90.00
Fractional positions:
Nb  0.000  0.000  0.000
Ga  0.500  0.500  0.500
C  0.000  0.000  0.500
C  0.000  0.500  0.000
C  0.500  0.000  0.000


Most stable structure - model Q; separation to the second - 0.388 eV/atom.


Model P:
A relaxed structure of Nd4Ga2C. Source: Alexandria, functional PBE.

Summary:
space group	I4/mmm (139)

a b c (Å): 8.141 8.141 8.141
angles (deg): 143.20 143.20 53.02
Fractional positions:
Nd  0.000  0.500  0.500
Nd  0.174  0.174  0.000
Nd  0.500  0.000  0.500
Nd  0.826  0.826  0.000
Ga  0.380  0.380  0.000
Ga  0.620  0.620  0.000
C  0.000  0.000  0.000


Model Q:
A relaxed structure of Nd4Ga2C. Source: Alexandria, functional PBE.

Summary:
space group	Pbam (55)

a b c (Å): 7.927 12.887 3.752
angles (deg): 90.00 90.00 90.00
Fractional positions:
Nd  0.118  0.187  0.000
Nd  0.213  0.951  0.500
Nd  0.287  0.451  0.500
Nd  0.382  0.687  0.000
Nd  0.618  0.313  0.000
Nd  0.713  0.549  0.500
Nd  0.787  0.049  0.500
Nd  0.882  0.813  0.000
Ga  0.079  0.667  0.500
Ga  0.421  0.167  0.500
Ga  0.579  0.833  0.500
Ga  0.921  0.333  0.500
C  0.000  0.000  0.000
C  0.500  0.500  0.000


Most stable structure - model P; separation to the second - 0.074 eV/atom.


Model P:
A relaxed structure of Nd3GaC. Source: Alexandria, functional PBE.

Summary:
space group	Pnma (62)

a b c (Å): 8.688 3.805 15.109
angles (deg): 90.00 90.00 90.00
Fractional positions:
Nd  0.029  0.250  0.100
Nd  0.166  0.250  0.500
Nd  0.209  0.750  0.296
Nd  0.291  0.250  0.796
Nd  0.334  0.750  0.000
Nd  0.471  0.750  0.600
Nd  0.529  0.250  0.400
Nd  0.666  0.250  0.000
Nd  0.709  0.750  0.204
Nd  0.791  0.250  0.704
Nd  0.834  0.750  0.500
Nd  0.971  0.750  0.900
Ga  0.087  0.750  0.671
Ga  0.413  0.250  0.171
Ga  0.587  0.750  0.829
Ga  0.913  0.250  0.329
C  0.157  0.250  0.943
C  0.343  0.750  0.443
C  0.657  0.250  0.557
C  0.843  0.750  0.057


Model Q:
A relaxed structure of Nd3GaC. Source: Alexandria, functional PBE.

Summary:
space group	Pm-3m (221)

a b c (Å): 5.488 5.488 5.488
angles (deg): 90.00 90.00 90.00
Fractional positions:
Nd  0.000  0.000  0.500
Nd  0.000  0.500  0.000
Nd  0.500  0.000  0.000
Ga  0.000  0.000  0.000
C  0.500  0.500  0.500


Most stable structure - model P; separation to the second - 1.497 eV/atom.


Model P:
A relaxed structure of Nd3GaC. Source: Alexandria, functional PBE.

Summary:
space group	Pm-3m (221)

a b c (Å): 5.070 5.070 5.070
angles (deg): 90.00 90.00 90.00
Fractional positions:
Nd  0.000  0.000  0.500
Nd  0.000  0.500  0.000
Nd  0.500  0.000  0.000
Ga  0.500  0.500  0.500
C  0.000  0.000  0.000


Model Q:
A relaxed structure of Nd3GaC. Source: Alexandria, functional PBE.

Summary:
space group	C2/m (12)

a b c (Å): 7.842 7.842 8.841
angles (deg): 93.57 93.57 27.94
Fractional positions:
Nd  0.050  0.050  0.270
Nd  0.246  0.246  0.673
Nd  0.349  0.349  0.037
Nd  0.651  0.651  0.963
Nd  0.754  0.754  0.327
Nd  0.950  0.950  0.730
Ga  0.414  0.414  0.440
Ga  0.586  0.586  0.560
C  0.196  0.196  0.152
C  0.804  0.804  0.848


Most stable structure - model Q; separation to the second - 0.022 eV/atom.


Model P:
A relaxed structure of Ti2GaNiC. Source: Alexandria, functional PBE.

Summary:
space group	P4/mmm (123)

a b c (Å): 4.137 4.137 3.939
angles (deg): 90.00 90.00 90.00
Fractional positions:
Ti  0.000  0.500  0.000
Ti  0.500  0.000  0.000
Ga  0.000  0.000  0.500
Ni  0.500  0.500  0.500
C  0.000  0.000  0.000


Model Q:
A relaxed structure of Ti2GaNiC. Source: Alexandria, functional PBE.

Summary:
space group	P4/mmm (123)

a b c (Å): 4.654 4.654 4.159
angles (deg): 90.00 90.00 90.00
Fractional positions:
Ti  0.000  0.500  0.000
Ti  0.500  0.000  0.000
Ga  0.000  0.000  0.000
Ni  0.000  0.000  0.500
C  0.500  0.500  0.500


Most stable structure - model P; separation to the second - 1.789 eV/atom.


Model P:
A relaxed structure of GaOsC3. Source: Alexandria, functional PBE.

Summary:
space group	Pm-3m (221)

a b c (Å): 3.866 3.866 3.866
angles (deg): 90.00 90.00 90.00
Fractional positions:
Ga  0.000  0.000  0.000
Os  0.500  0.500  0.500
C  0.000  0.000  0.500
C  0.000  0.500  0.000
C  0.500  0.000  0.000


Model Q:
A relaxed structure of GaOsC3. Source: Alexandria, functional PBE.

Summary:
space group	Pm-3m (221)

a b c (Å): 4.023 4.023 4.023
angles (deg): 90.00 90.00 90.00
Fractional positions:
Ga  0.000  0.000  0.000
Os  0.500  0.500  0.500
C  0.000  0.500  0.500
C  0.500  0.000  0.500
C  0.500  0.500  0.000


Most stable structure - model Q; separation to the second - 1.302 eV/atom.


Model P:
A relaxed structure of Ga2PC. Source: Alexandria, functional PBE.

Summary:
space group	Fm-3m (225)

a b c (Å): 4.311 4.311 4.311
angles (deg): 60.00 60.00 60.00
Fractional positions:
Ga  0.250  0.250  0.250
Ga  0.750  0.750  0.750
P  0.000  0.000  0.000
C  0.500  0.500  0.500


Model Q:
A relaxed structure of Ga2PC. Source: Alexandria, functional PBE.

Summary:
space group	I-42d (122)

a b c (Å): 6.122 6.122 6.122
angles (deg): 130.25 130.25 73.01
Fractional positions:
Ga  0.061  0.625  0.936
Ga  0.375  0.311  0.436
Ga  0.689  0.125  0.064
Ga  0.875  0.939  0.564
P  0.250  0.750  0.500
P  0.500  0.500  0.000
C  0.000  0.000  0.000
C  0.750  0.250  0.500


Most stable structure - model Q; separation to the second - 0.962 eV/atom.